--- one ---
Compound: Ag2N2Cl
Source: the Alexandria database
Functional: GGA-PBE
Structure: relaxed

Magnetic moment: 0.0 μB/cell
N(E_F): 3.99 states/eV/f.u.

abc: 6.706 6.706 3.147
angles: 90.00 90.00 90.00
Atoms (fractional coordinates):
Ag: 0.147 0.353 0.000
Ag: 0.353 0.853 0.000
Ag: 0.647 0.147 0.000
Ag: 0.853 0.647 0.000
N: 0.186 0.686 0.500
N: 0.314 0.186 0.500
N: 0.686 0.814 0.500
N: 0.814 0.314 0.500
Cl: 0.000 0.000 0.500
Cl: 0.500 0.500 0.500

--- two ---
Compound: Ag2N2Cl
Source: the Alexandria database
Functional: GGA-PBE
Structure: relaxed

Magnetic moment: 0.0 μB/cell
N(E_F): 1.94 states/eV/f.u.

abc: 5.847 5.847 5.847
angles: 136.47 136.47 63.25
Atoms (fractional coordinates):
Ag: 0.250 0.750 0.500
Ag: 0.750 0.250 0.500
N: 0.207 0.207 0.000
N: 0.793 0.793 0.000
Cl: 0.000 0.000 0.000

Quick one: most stable of them? two

--- one ---
Compound: AgNCl2
Source: the Alexandria database
Functional: GGA-PBE
Structure: relaxed

Magnetic moment: 2.0 μB/cell
N(E_F): 0.00 states/eV/f.u.

abc: 7.435 7.435 7.435
angles: 32.11 32.11 32.11
Atoms (fractional coordinates):
Ag: 0.000 0.000 0.000
N: 0.500 0.500 0.500
Cl: 0.401 0.401 0.401
Cl: 0.599 0.599 0.599

--- two ---
Compound: AgNCl2
Source: the Alexandria database
Functional: GGA-PBE
Structure: relaxed

Magnetic moment: 2.0 μB/cell
N(E_F): 5.70 states/eV/f.u.

abc: 4.698 4.698 4.698
angles: 60.00 60.00 60.00
Atoms (fractional coordinates):
Ag: 0.000 0.000 0.000
N: 0.500 0.500 0.500
Cl: 0.250 0.250 0.250
Cl: 0.750 0.750 0.750

--- three ---
Compound: AgNCl2
Source: the Alexandria database
Functional: GGA-PBE
Structure: relaxed

Magnetic moment: 0.0 μB/cell
N(E_F): 2.03 states/eV/f.u.

abc: 4.157 4.157 15.484
angles: 97.53 97.53 48.09
Atoms (fractional coordinates):
Ag: 0.199 0.199 0.195
Ag: 0.801 0.801 0.805
N: 0.316 0.316 0.332
N: 0.684 0.684 0.668
Cl: 0.109 0.109 0.884
Cl: 0.111 0.111 0.630
Cl: 0.889 0.889 0.370
Cl: 0.891 0.891 0.116

--- four ---
Compound: AgNCl2
Source: the Alexandria database
Functional: GGA-PBE
Structure: relaxed

Magnetic moment: 0.0 μB/cell
N(E_F): 0.20 states/eV/f.u.

abc: 7.205 7.205 7.205
angles: 137.63 137.63 61.47
Atoms (fractional coordinates):
Ag: 0.000 0.000 0.000
Ag: 0.750 0.250 0.500
N: 0.250 0.750 0.500
N: 0.500 0.500 0.000
Cl: 0.222 0.625 0.097
Cl: 0.375 0.472 0.597
Cl: 0.528 0.125 0.903
Cl: 0.875 0.778 0.403

Quick one: most stable of them? three

--- one ---
Compound: AgNCl3
Source: the Alexandria database
Functional: GGA-PBE
Structure: relaxed

Magnetic moment: 0.0 μB/cell
N(E_F): 1.14 states/eV/f.u.

abc: 4.483 4.483 4.483
angles: 90.00 90.00 90.00
Atoms (fractional coordinates):
Ag: 0.000 0.000 0.000
N: 0.500 0.500 0.500
Cl: 0.000 0.500 0.500
Cl: 0.500 0.000 0.500
Cl: 0.500 0.500 0.000

--- two ---
Compound: AgNCl3
Source: the Alexandria database
Functional: GGA-PBE
Structure: relaxed

Magnetic moment: 2.8 μB/cell
N(E_F): 5.00 states/eV/f.u.

abc: 4.999 4.999 4.999
angles: 90.00 90.00 90.00
Atoms (fractional coordinates):
Ag: 0.000 0.000 0.000
N: 0.500 0.500 0.500
Cl: 0.000 0.000 0.500
Cl: 0.000 0.500 0.000
Cl: 0.500 0.000 0.000

Quick one: most stable of them? one

--- one ---
Compound: AgNCl
Source: the Alexandria database
Functional: GGA-PBE
Structure: relaxed

Magnetic moment: 0.0 μB/cell
N(E_F): 0.00 states/eV/f.u.

abc: 10.656 4.053 7.547
angles: 90.00 103.32 90.00
Atoms (fractional coordinates):
Ag: 0.089 0.167 0.390
Ag: 0.089 0.333 0.890
Ag: 0.911 0.667 0.110
Ag: 0.911 0.833 0.610
N: 0.460 0.082 0.511
N: 0.460 0.418 0.011
N: 0.540 0.582 0.989
N: 0.540 0.918 0.489
Cl: 0.161 0.618 0.634
Cl: 0.161 0.882 0.134
Cl: 0.839 0.118 0.866
Cl: 0.839 0.382 0.366

--- two ---
Compound: AgNCl
Source: the Alexandria database
Functional: GGA-PBE
Structure: relaxed

Magnetic moment: 0.0 μB/cell
N(E_F): 0.00 states/eV/f.u.

abc: 4.323 4.332 10.546
angles: 96.62 94.47 118.13
Atoms (fractional coordinates):
Ag: 0.000 0.000 0.000
Ag: 0.415 0.406 0.800
N: 0.362 0.297 0.441
N: 0.557 0.377 0.372
Cl: 0.355 0.694 0.057
Cl: 0.724 0.046 0.745

Quick one: most stable of them? two

--- one ---
Compound: AgS2NCl
Source: the Alexandria database
Functional: GGA-PBE
Structure: relaxed

Magnetic moment: 5.2 μB/cell
N(E_F): 3.00 states/eV/f.u.

abc: 5.074 5.074 4.150
angles: 90.00 90.00 90.00
Atoms (fractional coordinates):
Ag: 0.000 0.000 0.000
S: 0.000 0.500 0.000
S: 0.500 0.000 0.000
N: 0.000 0.000 0.500
Cl: 0.500 0.500 0.500

--- two ---
Compound: AgS2NCl
Source: the Alexandria database
Functional: GGA-PBE
Structure: relaxed

Magnetic moment: 0.0 μB/cell
N(E_F): 2.00 states/eV/f.u.

abc: 3.832 3.832 7.701
angles: 90.00 90.00 90.00
Atoms (fractional coordinates):
Ag: 0.000 0.000 0.000
S: 0.000 0.500 0.500
S: 0.500 0.000 0.500
N: 0.500 0.500 0.500
Cl: 0.500 0.500 0.000

--- three ---
Compound: AgS2NCl
Source: the Alexandria database
Functional: GGA-PBE
Structure: relaxed

Magnetic moment: 0.6 μB/cell
N(E_F): 5.02 states/eV/f.u.

abc: 5.115 5.115 3.349
angles: 90.00 90.00 90.00
Atoms (fractional coordinates):
Ag: 0.000 0.000 0.000
S: 0.000 0.500 0.500
S: 0.500 0.000 0.500
N: 0.500 0.500 0.000
Cl: 0.500 0.500 0.500

Quick one: most stable of them? two

--- one ---
Compound: AgSN2Cl
Source: the Alexandria database
Functional: GGA-PBE
Structure: relaxed

Magnetic moment: 1.1 μB/cell
N(E_F): 5.36 states/eV/f.u.

abc: 3.598 3.598 7.688
angles: 90.00 90.00 90.00
Atoms (fractional coordinates):
Ag: 0.000 0.000 0.000
S: 0.500 0.500 0.000
N: 0.000 0.500 0.500
N: 0.500 0.000 0.500
Cl: 0.500 0.500 0.500

--- two ---
Compound: AgSN2Cl
Source: the Alexandria database
Functional: GGA-PBE
Structure: relaxed

Magnetic moment: 4.1 μB/cell
N(E_F): 2.12 states/eV/f.u.

abc: 4.088 4.088 5.551
angles: 90.00 90.00 90.00
Atoms (fractional coordinates):
Ag: 0.000 0.000 0.000
S: 0.000 0.000 0.500
N: 0.000 0.500 0.000
N: 0.500 0.000 0.000
Cl: 0.500 0.500 0.500

Quick one: most stable of them? two

--- one ---
Compound: AgSbNCl2
Source: the Alexandria database
Functional: GGA-PBE
Structure: relaxed

Magnetic moment: 3.0 μB/cell
N(E_F): 0.00 states/eV/f.u.

abc: 5.362 5.362 5.387
angles: 90.00 90.00 90.00
Atoms (fractional coordinates):
Ag: 0.000 0.000 0.000
Sb: 0.000 0.000 0.500
N: 0.500 0.500 0.000
Cl: 0.000 0.500 0.500
Cl: 0.500 0.000 0.500

--- two ---
Compound: AgSbNCl2
Source: the Alexandria database
Functional: GGA-PBE
Structure: relaxed

Magnetic moment: 0.0 μB/cell
N(E_F): 12.45 states/eV/f.u.

abc: 4.657 4.657 6.026
angles: 90.00 90.00 90.00
Atoms (fractional coordinates):
Ag: 0.000 0.000 0.000
Sb: 0.000 0.000 0.500
N: 0.500 0.500 0.500
Cl: 0.000 0.500 0.000
Cl: 0.500 0.000 0.000

Quick one: most stable of them? one

--- one ---
Compound: NaAg4Cl5
Source: the Alexandria database
Functional: GGA-PBE
Structure: relaxed

Magnetic moment: 0.0 μB/cell
N(E_F): 0.00 states/eV/f.u.

abc: 4.343 4.343 34.411
angles: 90.00 90.00 120.00
Atoms (fractional coordinates):
Na: 0.000 0.000 0.000
Na: 0.000 0.000 0.202
Ag: 0.000 0.000 0.403
Ag: 0.000 0.000 0.601
Ag: 0.000 0.000 0.799
Ag: 0.333 0.667 0.100
Ag: 0.333 0.667 0.303
Ag: 0.333 0.667 0.502
Ag: 0.333 0.667 0.700
Ag: 0.333 0.667 0.899
Cl: 0.000 0.000 0.124
Cl: 0.000 0.000 0.326
Cl: 0.000 0.000 0.524
Cl: 0.000 0.000 0.722
Cl: 0.000 0.000 0.921
Cl: 0.333 0.667 0.024
Cl: 0.333 0.667 0.227
Cl: 0.333 0.667 0.425
Cl: 0.333 0.667 0.623
Cl: 0.333 0.667 0.822

--- two ---
Compound: NaAg4Cl5
Source: the Alexandria database
Functional: GGA-PBE
Structure: relaxed

Magnetic moment: 0.0 μB/cell

abc: 14.352 14.352 14.352
angles: 164.12 164.12 22.53
Atoms (fractional coordinates):
Na: 0.000 0.000 0.000
Ag: 0.201 0.201 0.000
Ag: 0.400 0.400 0.000
Ag: 0.600 0.600 0.000
Ag: 0.799 0.799 0.000
Cl: 0.101 0.101 0.000
Cl: 0.300 0.300 0.000
Cl: 0.500 0.500 0.000
Cl: 0.700 0.700 0.000
Cl: 0.899 0.899 0.000

Quick one: most stable of them? one

--- one ---
Compound: NaAg3Cl
Source: the Alexandria database
Functional: GGA-PBE
Structure: relaxed

Magnetic moment: 0.0 μB/cell
N(E_F): 2.44 states/eV/f.u.

abc: 5.207 5.207 5.207
angles: 90.00 90.00 90.00
Atoms (fractional coordinates):
Na: 0.000 0.000 0.000
Ag: 0.000 0.500 0.500
Ag: 0.500 0.000 0.500
Ag: 0.500 0.500 0.000
Cl: 0.500 0.500 0.500

--- two ---
Compound: NaAg3Cl
Source: the Alexandria database
Functional: GGA-PBE
Structure: relaxed

Magnetic moment: 0.0 μB/cell
N(E_F): 2.88 states/eV/f.u.

abc: 5.129 5.129 5.129
angles: 90.00 90.00 90.00
Atoms (fractional coordinates):
Na: 0.000 0.000 0.000
Ag: 0.000 0.000 0.500
Ag: 0.000 0.500 0.000
Ag: 0.500 0.000 0.000
Cl: 0.500 0.500 0.500

Quick one: most stable of them? one

--- one ---
Compound: Na3AgCl
Source: the Alexandria database
Functional: GGA-PBE
Structure: relaxed

Magnetic moment: 0.0 μB/cell
N(E_F): 4.04 states/eV/f.u.

abc: 5.612 5.612 5.612
angles: 90.00 90.00 90.00
Atoms (fractional coordinates):
Na: 0.000 0.000 0.500
Na: 0.000 0.500 0.000
Na: 0.500 0.000 0.000
Ag: 0.000 0.000 0.000
Cl: 0.500 0.500 0.500

--- two ---
Compound: Na3AgCl
Source: the Alexandria database
Functional: GGA-PBE
Structure: relaxed

Magnetic moment: 0.0 μB/cell
N(E_F): 2.78 states/eV/f.u.

abc: 5.318 5.318 5.318
angles: 90.00 90.00 90.00
Atoms (fractional coordinates):
Na: 0.000 0.000 0.500
Na: 0.000 0.500 0.000
Na: 0.500 0.000 0.000
Ag: 0.500 0.500 0.500
Cl: 0.000 0.000 0.000

Quick one: most stable of them? two

--- one ---
Compound: NaAgCl4
Source: the Alexandria database
Functional: GGA-PBE
Structure: relaxed

Magnetic moment: 0.0 μB/cell

abc: 6.731 4.287 13.164
angles: 90.00 119.98 90.00
Atoms (fractional coordinates):
Na: 0.000 0.000 0.000
Na: 0.000 0.500 0.500
Ag: 0.500 0.000 0.500
Ag: 0.500 0.500 0.000
Cl: 0.099 0.008 0.388
Cl: 0.099 0.492 0.888
Cl: 0.477 0.668 0.636
Cl: 0.477 0.832 0.136
Cl: 0.523 0.168 0.864
Cl: 0.523 0.332 0.364
Cl: 0.901 0.508 0.112
Cl: 0.901 0.992 0.612

--- two ---
Compound: NaAgCl4
Source: the Alexandria database
Functional: GGA-PBE
Structure: relaxed

Magnetic moment: 0.0 μB/cell

abc: 7.485 7.485 7.618
angles: 91.47 91.47 55.65
Atoms (fractional coordinates):
Na: 0.000 0.500 0.000
Na: 0.500 0.000 0.500
Ag: 0.249 0.751 0.750
Ag: 0.751 0.249 0.250
Cl: 0.077 0.579 0.667
Cl: 0.208 0.708 0.047
Cl: 0.292 0.792 0.453
Cl: 0.421 0.923 0.833
Cl: 0.579 0.077 0.167
Cl: 0.708 0.208 0.547
Cl: 0.792 0.292 0.953
Cl: 0.923 0.421 0.333

Quick one: most stable of them? one